KTaFe | PBE-GGA | relaxed

## Properties
N(E_F)	1.33	states/eV/f.u.
final energy	-64.0	eV for the cell shown
E above lowest polymorph	1.050	eV per atom
volume	265.2	Å³/cell
ρ	6.9	g/cm3

a b c (Å): 6.425 6.425 6.425
angles (deg): 90.00 90.00 90.00
Space group F-43m (No. 216)
Asymmetric unit:
1 K 0.000 0.000 0.000
2 Ta 0.000 0.000 0.500
3 Fe 0.250 0.250 0.250